KAgP2 | PBE | relaxed

Cell: 3.278 3.278 8.053 Å, 90.00 90.00 90.00°
Element x y z (fractional)
P1 0.500 0.500 0.189
P2 0.000 0.000 0.089
K1 0.500 0.500 0.783
Ag1 0.000 0.000 0.439

Values from the calculation:
excess energy over the best structure of this formula in the dataset = 354.6 meV/atom
calculated formation energy = 190 meV/atom

---

K5AgP2 | PBE | relaxed

Cell: 5.706 5.706 18.970 Å, 90.00 90.00 120.00°
Element x y z (fractional)
K1 0.667 0.333 0.049
K2 0.000 0.000 0.641
K3 0.667 0.333 0.451
K4 0.333 0.667 0.549
K5 0.333 0.667 0.951
K6 0.667 0.333 0.250
K7 0.000 0.000 0.141
K8 0.000 0.000 0.859
K9 0.333 0.667 0.750
K10 0.000 0.000 0.359
P1 0.333 0.667 0.378
P2 0.667 0.333 0.622
P3 0.333 0.667 0.122
P4 0.667 0.333 0.878
Ag1 0.667 0.333 0.750
Ag2 0.333 0.667 0.250

Values from the calculation:
calculated formation energy = -290 meV/atom

---

KAg4P | PBE | relaxed

Cell: 5.639 5.639 5.639 Å, 60.00 60.00 60.00°
Element x y z (fractional)
Ag1 0.375 0.375 0.875
Ag2 0.375 0.375 0.375
Ag3 0.375 0.875 0.375
Ag4 0.875 0.375 0.375
P1 0.000 0.000 0.000
K1 0.750 0.750 0.750

Values from the calculation:
calculated formation energy = 212 meV/atom

---

KAgP | PBE | relaxed

Cell: 5.056 5.056 5.056 Å, 60.00 60.00 60.00°
Last column: magnetic moment on the atom in μB.
Element x y z (fractional)
Ag1 0.500 0.500 0.500  -0.01
K1 0.750 0.750 0.750  0.02
P1 0.000 0.000 0.000  0.45

Values from the calculation:
excess energy over the best structure of this formula in the dataset = 1061.2 meV/atom
calculated formation energy = 846 meV/atom

---

K5Ag3P3 | PBE | relaxed

Cell: 4.623 10.075 10.075 Å, 120.00 90.00 90.00°
Element x y z (fractional)
P1 0.500 0.000 0.376
P2 0.500 0.376 0.000
P3 0.500 0.624 0.624
Ag1 0.000 0.331 0.000
Ag2 0.000 0.000 0.331
Ag3 0.000 0.669 0.669
K1 0.500 0.667 0.333
K2 0.500 0.736 0.000
K3 0.500 0.333 0.667
K4 0.500 0.264 0.264
K5 0.500 0.000 0.736

Values from the calculation:
calculated formation energy = -190 meV/atom

---

KAgP | PBE | relaxed

Cell: 6.002 6.002 6.112 Å, 93.30 116.01 119.65°
Element x y z (fractional)
P1 0.827 0.974 0.800
P2 0.173 0.026 0.200
K1 0.253 0.636 0.889
K2 0.747 0.364 0.111
Ag1 0.500 0.500 0.500
Ag2 0.000 0.000 0.500

Values from the calculation:
excess energy over the best structure of this formula in the dataset = 0.0 meV/atom
calculated formation energy = -215 meV/atom